## Cs3AlH (SCAN)

Data for a crystal of Cs3AlH relaxed with PBEsol.

Properties
For the total energy, the calculation gives -24.825 eV per atom.

Unit cell a=5.994 b=5.994 c=5.994 alpha=90.00 beta=90.00 gamma=90.00
Space group Pm-3m (No. 221)
Inequivalent atoms, fractional coordinates:
Cs1 0.000 0.000 0.500 x3
Al1 0.500 0.500 0.500 x1
H1 0.000 0.000 0.000 x1